[1]
The following is a PBE calculation of CsSrZn2 after structural relaxation, from the Alexandria database.

Output
Fermi-level density of states	1.029	states/eV per atom
size of the total moment	0.00	μB/atom

Structure (extended XYZ):
```
4
Lattice="0.0000 4.1458 4.1458 4.1458 0.0000 4.1458 4.1458 4.1458 0.0000" Properties=species:S:1:pos:R:3 pbc="T T T"
Sr 0.0000 0.0000 0.0000
Zn 6.2186 6.2186 6.2186
Zn 2.0729 2.0729 2.0729
Cs 4.1458 4.1458 4.1458
```

---

[2]
The following is a PBE calculation of Cs3SrZn after structural relaxation, from the Alexandria database.

Output
Fermi-level density of states	0.790	states/eV per atom
size of the total moment	0.00	μB/atom

Structure (extended XYZ):
```
5
Lattice="7.3599 0.0000 0.0000 0.0000 7.3599 0.0000 0.0000 0.0000 7.3599" Properties=species:S:1:pos:R:3 pbc="T T T"
Cs 3.6800 0.0000 0.0000
Cs 0.0000 0.0000 3.6800
Cs 0.0000 3.6800 0.0000
Sr 3.6800 3.6800 3.6800
Zn 0.0000 0.0000 0.0000
```

---

[3]
The following is a PBE calculation of Cs2SrZn after structural relaxation, from the Alexandria database.

Output
Fermi-level density of states	1.391	states/eV per atom
size of the total moment	0.00	μB/atom

Structure (extended XYZ):
```
4
Lattice="0.0000 5.1650 5.1650 5.1650 0.0000 5.1650 5.1650 5.1650 0.0000" Properties=species:S:1:pos:R:3 pbc="T T T"
Sr 5.1650 5.1650 5.1650
Zn 0.0000 0.0000 0.0000
Cs 2.5825 2.5825 2.5825
Cs 7.7475 7.7475 7.7475
```

---

Energy of formation from the pure elements? In order: 172 220 350 meV per atom.
Relative energy among the computed polymorphs? In order: 0.000 0.000 0.513 eV per formula unit.